Record 1
Density functional theory data (meta-GGA SCAN) for K2LiBP2O8 at its PBEsol-relaxed geometry.

a b c (Å): 8.3361 8.8104 12.3152
angles (deg): 90.00 127.17 90.00
Closest atoms and distances in Å follow each position.
Element x y z (fractional)
K: 0.0614 0.2251 0.0883  4 O 2.56-2.80
K: 0.0614 0.2749 0.5883  4 O 2.56-2.80
K: 0.2739 0.7248 0.3201  7 O 2.69-2.95, 1 Li 3.01
K: 0.2739 0.7752 0.8201  7 O 2.69-2.95, 1 Li 3.01
K: 0.7261 0.2248 0.1799  7 O 2.69-2.95, 1 Li 3.01
K: 0.7261 0.2752 0.6799  7 O 2.69-2.95, 1 Li 3.01
K: 0.9386 0.7251 0.4117  4 O 2.56-2.80
K: 0.9386 0.7749 0.9117  4 O 2.56-2.80
Li: 0.1914 0.0834 0.8815  4 O 1.91-1.98
Li: 0.1914 0.4166 0.3815  4 O 1.91-1.98
Li: 0.8086 0.5834 0.6185  4 O 1.91-1.98
Li: 0.8086 0.9166 0.1185  4 O 1.91-1.98
B: 0.4658 0.5864 0.1251  4 O 1.46-1.48
B: 0.4658 0.9136 0.6251  4 O 1.46-1.48
B: 0.5342 0.0864 0.3749  4 O 1.46-1.48
B: 0.5342 0.4136 0.8749  4 O 1.46-1.48
P: 0.2071 0.0774 0.3915  4 O 1.51-1.59
P: 0.2071 0.4226 0.8915  4 O 1.51-1.59
P: 0.4707 0.6061 0.6706  4 O 1.51-1.60
P: 0.4707 0.8939 0.1706  4 O 1.51-1.60
P: 0.5293 0.1061 0.8294  4 O 1.51-1.60
P: 0.5293 0.3939 0.3294  4 O 1.51-1.60
P: 0.7929 0.5774 0.1085  4 O 1.51-1.59
P: 0.7929 0.9226 0.6085  4 O 1.51-1.59
O: 0.0647 0.0069 0.2519  1 P 1.51
O: 0.0647 0.4931 0.7519  1 P 1.51
O: 0.1261 0.2185 0.4136  1 P 1.52
O: 0.1261 0.2815 0.9136  1 P 1.52
O: 0.2611 0.5498 0.0006  1 B 1.48, 1 P 1.59
O: 0.2611 0.9502 0.5006  1 B 1.48, 1 P 1.59
O: 0.2934 0.5588 0.5282  1 P 1.52
O: 0.2934 0.9412 0.0282  1 P 1.52
O: 0.3232 0.0706 0.7911  1 P 1.51
O: 0.3232 0.4294 0.2911  1 P 1.51
O: 0.4110 0.1267 0.4196  1 B 1.47, 1 P 1.58
O: 0.4110 0.3733 0.9196  1 B 1.47, 1 P 1.58
O: 0.4445 0.5405 0.7789  1 B 1.46, 1 P 1.59
O: 0.4445 0.9595 0.2789  1 B 1.46, 1 P 1.59
O: 0.4505 0.7182 0.1917  1 B 1.47, 1 P 1.60
O: 0.4505 0.7818 0.6917  1 B 1.47, 1 P 1.60
O: 0.5495 0.2182 0.3083  1 B 1.47, 1 P 1.60
O: 0.5495 0.2818 0.8083  1 B 1.47, 1 P 1.60
O: 0.5555 0.0405 0.7211  1 B 1.46, 1 P 1.59
O: 0.5555 0.4595 0.2211  1 B 1.46, 1 P 1.59
O: 0.5890 0.6267 0.0804  1 B 1.47, 1 P 1.58
O: 0.5890 0.8733 0.5804  1 B 1.47, 1 P 1.58
O: 0.6768 0.5706 0.7089  1 P 1.51
O: 0.6768 0.9294 0.2089  1 P 1.51
O: 0.7066 0.0588 0.9718  1 P 1.52
O: 0.7066 0.4412 0.4718  1 P 1.52
O: 0.7389 0.0498 0.4994  1 B 1.48, 1 P 1.59
O: 0.7389 0.4502 0.9994  1 B 1.48, 1 P 1.59
O: 0.8739 0.7185 0.0864  1 P 1.52
O: 0.8739 0.7815 0.5864  1 P 1.52
O: 0.9353 0.5069 0.2481  1 P 1.51
O: 0.9353 0.9931 0.7481  1 P 1.51

Uncorrected formation energy: -2.59 eV/atom
Total magnetization: 0.00 μB per cell
N(E_F): 0.0 states/eV/f.u.
Energy: -9.53 eV per atom



Record 2
Density functional theory data (meta-GGA SCAN) for ScBePt2I at its PBEsol-relaxed geometry.

a b c (Å): 5.0306 5.0306 4.2817
angles (deg): 90.00 90.00 90.00
Closest atoms and distances in Å follow each position.
Element x y z (fractional)
Sc: 0.0000 0.0000 0.0000  8 Pt 3.30, 4 Be 3.56
Be: 0.5000 0.5000 0.0000  2 I 2.14
Pt: 0.0000 0.5000 0.5000  2 I 2.52
Pt: 0.5000 0.0000 0.5000  2 I 2.52
I: 0.5000 0.5000 0.5000  2 Be 2.14

Uncorrected formation energy: 0.84 eV/atom
Total magnetization: 0.00 μB per cell
N(E_F): 2.5 states/eV/f.u.
Energy: -38.30 eV per atom



Record 3
Density functional theory data (meta-GGA SCAN) for MnSbTe2P at its PBEsol-relaxed geometry.

a b c (Å): 4.9088 4.9088 4.8975
angles (deg): 90.00 90.00 90.00
Closest atoms and distances in Å follow each position.
Element x y z (fractional)
Mn: 0.0000 0.0000 0.0000  2 Sb 2.45, 4 Te 2.45
Sb: 0.0000 0.0000 0.5000  2 Mn 2.45
Te: 0.0000 0.5000 0.0000  2 Mn 2.45
Te: 0.5000 0.0000 0.0000  2 Mn 2.45
P: 0.5000 0.5000 0.5000  8 Te 3.47, 4 Sb 3.47

Uncorrected formation energy: 0.69 eV/atom
Total magnetization: 2.29 μB per cell
N(E_F): 4.7 states/eV/f.u.
Energy: -27.39 eV per atom